VASP calculation (GGA-PBE) on Rb2YTi after structural relaxation.

Calculated values
* E: -2.648 eV/atom
* distance to the lowest polymorph of the same formula: 0.202 eV per atom
* crystal system: cubic
* ΔH_f (0 K): 1.425 eV/atom

a = 8.657 Å, b = 8.657 Å, c = 8.657 Å
α = 90.00°, β = 90.00°, γ = 90.00°
Space group Fm-3m (No. 225)
One atom of each set of equivalent atoms:
Rb  0.250  0.250  0.250 (multiplicity 8)
Y  0.000  0.000  0.000 (multiplicity 4)
Ti  0.000  0.000  0.500 (multiplicity 4)